a.
VASP calculation (PBE-GGA) on a relaxed AcErOs crystal.

The density of states at the Fermi level is 0.910 states/eV per atom.

The structure in extended XYZ format:
```
3
Lattice="-2.962 -1.822 3.543 -2.152 -4.433 -0.601 1.486 -3.871 2.729" Properties=species:S:1:pos:R:3 pbc="T T T"
Os -0.907 -2.532 1.418
Ac -1.813 -5.063 2.835
Er 0.000 0.000 0.000
```

---

b.
VASP calculation (PBE-GGA) on a relaxed AcErOs crystal.

The density of states at the Fermi level is 0.681 states/eV per atom.

The structure in extended XYZ format:
```
6
Lattice="4.909 0.000 0.000 0.000 4.967 0.000 -2.455 -2.483 7.955" Properties=species:S:1:pos:R:3 pbc="T T T"
Er 2.455 0.000 5.353
Er 0.000 2.483 2.602
Ac 2.455 0.000 1.696
Ac 0.000 2.483 6.258
Os 1.227 2.483 0.000
Os 3.682 2.483 0.000
```

---

Comparing the structures above, a comes out on top by 360 meV per atom.